An optimized crystal structure of Sr4Ag2As, computed with PBE.

abc: 6.049 6.049 8.830
angles: 110.03 110.03 90.00
Fractional positions:
Ag 0.595 0.595 0.190
Ag 0.405 0.405 0.810
Sr 0.804 0.804 0.608
Sr 0.196 0.196 0.392
Sr 0.500 0.000 0.000
Sr 0.000 0.500 0.000
As 0.000 0.000 0.000

Results
**Calculated formation energy**: -403 meV/atom
**Total magnetization**: 0.0 μB per cell